No. 1
Density functional theory data (PBE) for a relaxed structure of La2HoBi3.

* energy relative to the lowest polymorph listed for this composition: 0.006 eV/atom
* magnetic moment: 0.00 μB/cell

Lattice parameters (Å, degrees): 4.6327 6.5582 13.8438 90.00 90.00 90.00
Space group Immm (No. 71)
Inequivalent atoms, fractional coordinates:
1 La 0.0000 0.0000 0.1685 [4 per cell]
2 Ho 0.0000 0.0000 0.5000 [2 per cell]
3 Bi 0.0000 0.5000 0.1591 [4 per cell]
4 Bi 0.0000 0.5000 0.5000 [2 per cell]


No. 2
Density functional theory data (PBE) for a relaxed structure of Sr2InAs.

* energy relative to the lowest polymorph listed for this composition: 0.536 eV/atom
* magnetic moment: 0.00 μB/cell

Lattice parameters (Å, degrees): 7.9478 7.9478 7.9478 90.00 90.00 90.00
Space group F-43m (No. 216)
Inequivalent atoms, fractional coordinates:
1 Sr 0.0000 0.0000 0.0000 [4 per cell]
2 Sr 0.2500 0.2500 0.2500 [4 per cell]
3 In 0.2500 0.2500 0.7500 [4 per cell]
4 As 0.0000 0.0000 0.5000 [4 per cell]


No. 3
Density functional theory data (PBE) for a relaxed structure of CeMgOs.

* magnetic moment: 0.00 μB/cell

Lattice parameters (Å, degrees): 10.4143 5.0089 5.1426 90.00 103.46 90.00
Space group C2/m (No. 12)
Inequivalent atoms, fractional coordinates:
1 Ce 0.1317 0.0000 0.3168 [4 per cell]
2 Mg 0.0786 0.5000 0.7887 [4 per cell]
3 Os 0.1853 0.0000 0.8378 [4 per cell]


Formation enthalpy at 0 K values, unit eV per formula unit, following the record order: -5.82 -0.74 -0.36.